Record 1
First-principles (PBE) data for a geometry-optimized HoEr2Cd structure, as listed in the Alexandria database.

Results
Crystal system ... tetragonal
Energy of formation ... -145 meV per atom
Calculated total energy ... -15.20 eV per cell
Relative energy among the computed polymorphs ... 0 kJ/mol of formula units

Cell: 3.547 3.547 9.010 Å, 90.00 90.00 90.00°
Fractional positions:
Ho  0.000  0.000  0.000
Er  0.500  0.500  0.271
Er  0.500  0.500  0.729
Cd  0.000  0.000  0.500

=====

Record 2
First-principles (PBE) data for a geometry-optimized LiHPtSe structure, as listed in the Alexandria database.

Results
Crystal system ... orthorhombic
Calculated total energy ... -16.37 eV per cell
Relative energy among the computed polymorphs ... 12 kJ/mol of formula units

Cell: 3.597 3.726 4.001 Å, 90.00 90.00 90.00°
Fractional positions:
Li  0.000  0.000  0.000
H  0.000  0.000  0.500
Pt  0.000  0.500  0.500
Se  0.500  0.500  0.000

=====

Record 3
First-principles (PBE) data for a geometry-optimized U3TcS6 structure, as listed in the Alexandria database.

Results
Crystal system ... trigonal
ΔE_f (raw) ... -1.14 eV/atom
Calculated total energy ... -160.72 eV per cell

Cell: 7.596 7.596 7.596 Å, 98.00 98.00 98.00°
Fractional positions:
U  0.118  0.291  0.630
U  0.291  0.630  0.118
U  0.370  0.882  0.709
U  0.630  0.118  0.291
U  0.709  0.370  0.882
U  0.882  0.709  0.370
Tc  0.000  0.000  0.000
Tc  0.500  0.500  0.500
S  0.021  0.933  0.684
S  0.067  0.316  0.979
S  0.193  0.569  0.434
S  0.316  0.979  0.067
S  0.431  0.566  0.807
S  0.434  0.193  0.569
S  0.566  0.807  0.431
S  0.569  0.434  0.193
S  0.684  0.021  0.933
S  0.807  0.431  0.566
S  0.933  0.684  0.021
S  0.979  0.067  0.316

=====

Record 4
First-principles (PBE) data for a geometry-optimized Ho4Er2Th3 structure, as listed in the Alexandria database.

Results
Crystal system ... trigonal
Energy of formation ... 82 meV per atom
Calculated total energy ... -48.96 eV per cell

Cell: 3.543 3.543 26.310 Å, 90.00 90.00 120.00°
Fractional positions:
Ho  0.000  0.000  0.000
Ho  0.000  0.000  0.219
Ho  0.333  0.667  0.327
Ho  0.333  0.667  0.548
Er  0.000  0.000  0.656
Er  0.000  0.000  0.875
Th  0.000  0.000  0.438
Th  0.333  0.667  0.107
Th  0.333  0.667  0.768